This record from Alexandria via LeMat-Bulk describes a geometry-optimized TiNb2P structure. The functional is PBE-GGA.

Unit cell a=3.4351 b=9.6352 c=7.9981 alpha=90.00 beta=90.00 gamma=90.00
Space group Cmcm (No. 63)
One atom of each set of equivalent atoms:
1 Ti 0.0000 0.0439 0.2500 x4
2 Nb 0.0000 0.3570 0.0546 x8
3 P 0.0000 0.2495 0.7500 x4

## Properties
The calculation puts the energy of formation at -0.699 eV/atom.